Entry 1:
Material: Zn2SbPb
Method: DFT, PBE-GGA
State: optimized geometry

Calculated values
Symmetry: Immm, No. 71
M_tot: 0.00 μB/cell
Energy relative to the elements, uncorrected: 0.17 eV per atom

a b c (Å): 4.1649 5.4834 8.3355
angles (deg): 90.00 90.00 90.00
Last column: nearest neighbours and their distance in Å.
Sites, in units of the cell vectors:
Zn: 0.0000 0.0000 0.2372  2 Sb 2.87, 2 Pb 3.02
Zn: 0.0000 0.0000 0.7628  2 Sb 2.87, 2 Pb 3.02
Zn: 0.5000 0.5000 0.2628  2 Sb 2.87, 2 Pb 3.02
Zn: 0.5000 0.5000 0.7372  2 Sb 2.87, 2 Pb 3.02
Sb: 0.0000 0.5000 0.5000  4 Zn 2.87
Sb: 0.5000 0.0000 0.0000  4 Zn 2.87
Pb: 0.0000 0.5000 0.0000  8 Zn 3.02-3.38
Pb: 0.5000 0.0000 0.5000  8 Zn 3.02-3.38


Entry 2:
Material: Zn2SbPb
Method: DFT, PBE-GGA
State: optimized geometry

Calculated values
Symmetry: Cm, No. 8
M_tot: 0.00 μB/cell
Energy relative to the elements, uncorrected: 0.10 eV per atom

a b c (Å): 8.1105 4.0984 6.1779
angles (deg): 90.00 108.38 90.00
Last column: nearest neighbours and their distance in Å.
Sites, in units of the cell vectors:
Zn: 0.0000 0.0000 0.0000  3 Zn 2.60-2.70, 1 Pb 2.90
Zn: 0.2254 0.5000 0.1319  3 Zn 2.60-2.70, 3 Sb 2.74-2.89
Zn: 0.5000 0.5000 0.0000  3 Zn 2.60-2.70, 1 Pb 2.90
Zn: 0.7254 0.0000 0.1319  3 Zn 2.60-2.70, 3 Sb 2.74-2.89
Sb: 0.4758 0.0000 0.3451  5 Zn 2.74-3.01
Sb: 0.9758 0.5000 0.3451  5 Zn 2.74-3.01
Pb: 0.2333 0.0000 0.7277  5 Zn 2.90-3.25
Pb: 0.7333 0.5000 0.7277  5 Zn 2.90-3.25


Repeat the first record exactly.
Material: Zn2SbPb
Method: DFT, PBE-GGA
State: optimized geometry

Calculated values
Symmetry: Immm, No. 71
M_tot: 0.00 μB/cell
Energy relative to the elements, uncorrected: 0.17 eV per atom

a b c (Å): 4.1649 5.4834 8.3355
angles (deg): 90.00 90.00 90.00
Last column: nearest neighbours and their distance in Å.
Sites, in units of the cell vectors:
Zn: 0.0000 0.0000 0.2372  2 Sb 2.87, 2 Pb 3.02
Zn: 0.0000 0.0000 0.7628  2 Sb 2.87, 2 Pb 3.02
Zn: 0.5000 0.5000 0.2628  2 Sb 2.87, 2 Pb 3.02
Zn: 0.5000 0.5000 0.7372  2 Sb 2.87, 2 Pb 3.02
Sb: 0.0000 0.5000 0.5000  4 Zn 2.87
Sb: 0.5000 0.0000 0.0000  4 Zn 2.87
Pb: 0.0000 0.5000 0.0000  8 Zn 3.02-3.38
Pb: 0.5000 0.0000 0.5000  8 Zn 3.02-3.38